Record 1
{
  "formula": "Ac5LaPmY2",
  "functional": "PBE",
  "state": "optimized geometry",
  "rho_g_cm3": 7.18,
  "magmom_total_mub_per_fu": 0.000,
  "e_tot_ev_per_atom": -4.6363,
  "lattice_angstrom": [[6.020, 0.000, 0.000], [-3.010, 10.894, 0.000], [0.000, 0.000, 11.263]],
  "species": ["Ac", "Ac", "Ac", "Ac", "Ac", "Ac", "Ac", "Ac", "Ac", "Ac", "La", "La", "Y", "Y", "Y", "Y", "Pm", "Pm"],
  "fractional_positions": [[0.376, 0.752, 0.020], [0.988, 0.975, 0.514], [0.514, 0.029, 0.244], [0.012, 0.025, 0.014], [0.724, 0.448, 0.823], [0.276, 0.552, 0.323], [0.486, 0.971, 0.744], [0.300, 0.599, 0.704], [0.624, 0.248, 0.520], [0.700, 0.401, 0.204], [0.409, 0.817, 0.458], [0.591, 0.183, 0.958], [0.888, 0.776, 0.801], [0.112, 0.224, 0.301], [0.115, 0.231, 0.745], [0.885, 0.769, 0.245], [0.808, 0.617, 0.516], [0.192, 0.383, 0.016]]
}

Record 2
{
  "formula": "Tm5Co2Se2",
  "functional": "PBE",
  "state": "optimized geometry",
  "rho_g_cm3": 9.38,
  "magmom_total_mub_per_fu": 0.000,
  "e_form_raw_mev_per_atom": -867,
  "e_tot_ev_per_atom": -5.7041,
  "lattice_angstrom": [[6.917, 0.000, 2.511], [0.000, 7.302, 0.000], [0.939, 0.000, 8.198]],
  "species": ["Tm", "Tm", "Tm", "Tm", "Tm", "Tm", "Tm", "Tm", "Tm", "Tm", "Co", "Co", "Co", "Co", "Se", "Se", "Se", "Se"],
  "fractional_positions": [[0.458, 0.161, 0.754], [0.000, 0.000, 0.000], [0.287, 0.661, 0.754], [0.713, 0.339, 0.246], [0.787, 0.839, 0.754], [0.542, 0.839, 0.246], [0.500, 0.500, 0.000], [0.042, 0.661, 0.246], [0.958, 0.339, 0.754], [0.213, 0.161, 0.246], [0.630, 0.127, 0.000], [0.370, 0.873, 0.000], [0.870, 0.627, 0.000], [0.130, 0.373, 0.000], [0.709, 0.500, 0.582], [0.209, 0.000, 0.582], [0.791, 0.000, 0.418], [0.291, 0.500, 0.418]]
}

Record 3
{
  "formula": "ThCdGa",
  "functional": "PBE",
  "state": "optimized geometry",
  "rho_g_cm3": 9.49,
  "magmom_total_mub_per_fu": 0.000,
  "e_tot_ev_per_atom": -4.1322,
  "lattice_angstrom": [[-3.434, 0.115, 2.890], [-4.127, -3.989, -4.745], [4.128, -11.113, 5.346]],
  "species": ["Ga", "Ga", "Ga", "Ga", "Ga", "Ga", "Th", "Th", "Th", "Th", "Th", "Th", "Cd", "Cd", "Cd", "Cd", "Cd", "Cd"],
  "fractional_positions": [[0.750, 0.270, 0.750], [0.250, 0.730, 0.250], [0.250, 0.231, 0.422], [0.750, 0.235, 0.083], [0.250, 0.765, 0.917], [0.750, 0.769, 0.578], [0.250, 0.346, 0.918], [0.750, 0.519, 0.377], [0.250, 0.481, 0.623], [0.750, 0.023, 0.300], [0.750, 0.654, 0.082], [0.250, 0.977, 0.700], [0.250, 0.994, 0.096], [0.250, 0.835, 0.456], [0.750, 0.638, 0.804], [0.750, 0.165, 0.544], [0.750, 0.006, 0.904], [0.250, 0.362, 0.196]]
}

Record 4
{
  "formula": "SrIrS2N",
  "functional": "PBE",
  "state": "optimized geometry",
  "rho_g_cm3": 4.69,
  "magmom_total_mub_per_fu": 2.392,
  "e_form_raw_mev_per_atom": 1989,
  "e_tot_ev_per_atom": -3.4355,
  "relative_energy_mev_per_atom": 2508,
  "lattice_angstrom": [[5.409, 0.000, 0.000], [0.000, 5.409, 0.000], [0.000, 0.000, 4.334]],
  "species": ["S", "S", "N", "Sr", "Ir"],
  "fractional_positions": [[0.000, 0.500, 0.000], [0.500, 0.000, 0.000], [0.000, 0.000, 0.500], [0.000, 0.000, 0.000], [0.500, 0.500, 0.500]]
}

Record 5
{
  "formula": "BeGe3",
  "functional": "PBE",
  "state": "optimized geometry",
  "rho_g_cm3": 5.52,
  "magmom_total_mub_per_fu": 0.000,
  "e_tot_ev_per_atom": -3.8594,
  "relative_energy_mev_per_atom": 24,
  "lattice_angstrom": [[4.087, 0.000, 0.000], [0.000, 4.087, 0.000], [0.000, 0.000, 4.087]],
  "species": ["Ge", "Ge", "Ge", "Be"],
  "fractional_positions": [[0.500, 0.500, 0.000], [0.500, 0.000, 0.500], [0.000, 0.500, 0.500], [0.000, 0.000, 0.000]]
}

Record 6
{
  "formula": "MnBeAs2",
  "functional": "PBE",
  "state": "optimized geometry",
  "rho_g_cm3": 6.34,
  "magmom_total_mub_per_fu": 2.145,
  "e_tot_ev_per_atom": -5.5825,
  "relative_energy_mev_per_atom": 0,
  "lattice_angstrom": [[3.419, 0.000, 0.000], [0.000, 3.371, 0.000], [0.000, 1.681, 4.858]],
  "species": ["Be", "As", "As", "Mn"],
  "fractional_positions": [[0.000, 0.729, 0.416], [0.000, 0.969, 0.940], [0.500, 0.249, 0.375], [0.500, 0.553, 0.769]]
}

Record 7
{
  "formula": "TbY2HoTe6",
  "functional": "PBE",
  "state": "optimized geometry",
  "rho_g_cm3": 5.84,
  "magmom_total_mub_per_fu": 0.000,
  "e_form_raw_mev_per_atom": -1374,
  "e_tot_ev_per_atom": -5.4722,
  "lattice_angstrom": [[-6.319, 3.822, -2.166], [-6.619, -1.051, 3.783], [-2.644, 6.165, 4.916]],
  "species": ["Te", "Te", "Te", "Te", "Te", "Te", "Ho", "Tb", "Y", "Y"],
  "fractional_positions": [[0.418, 0.731, 0.751], [0.228, 0.916, 0.253], [0.731, 0.101, 0.751], [0.916, 0.603, 0.253], [0.603, 0.228, 0.253], [0.101, 0.418, 0.751], [0.823, 0.823, 0.530], [0.323, 0.323, 0.030], [0.009, 0.009, 0.973], [0.509, 0.509, 0.473]]
}

Record 8
{
  "formula": "AlHPd3",
  "functional": "PBE",
  "state": "optimized geometry",
  "rho_g_cm3": 9.02,
  "magmom_total_mub_per_fu": 0.000,
  "e_tot_ev_per_atom": -4.9894,
  "relative_energy_mev_per_atom": 100,
  "lattice_angstrom": [[-3.390, -1.394, -2.834], [2.821, -4.832, -0.997], [-4.736, -3.113, 1.685]],
  "species": ["Pd", "Pd", "Pd", "Pd", "Pd", "Pd", "H", "H", "Al", "Al"],
  "fractional_positions": [[0.611, 0.488, 0.205], [0.985, 0.250, 0.673], [0.389, 0.988, 0.795], [0.611, 0.012, 0.205], [0.389, 0.512, 0.795], [0.015, 0.750, 0.327], [0.633, 0.250, 0.624], [0.367, 0.750, 0.376], [0.097, 0.250, 0.212], [0.903, 0.750, 0.788]]
}

Record 9
{
  "formula": "Na8B11C5",
  "functional": "PBE",
  "state": "optimized geometry",
  "rho_g_cm3": 2.42,
  "magmom_total_mub_per_fu": 0.000,
  "e_tot_ev_per_atom": -5.2940,
  "relative_energy_mev_per_atom": 26,
  "lattice_angstrom": [[9.036, -0.511, 0.000], [-6.980, 5.760, 0.000], [0.000, 0.000, 5.125]],
  "species": ["Na", "Na", "Na", "Na", "Na", "Na", "Na", "Na", "B", "B", "B", "B", "B", "B", "B", "B", "B", "B", "B", "C", "C", "C", "C", "C"],
  "fractional_positions": [[0.998, 0.002, 0.000], [0.000, 0.500, 0.502], [0.498, 0.502, 0.000], [0.749, 0.751, 0.503], [0.501, 0.999, 0.503], [0.752, 0.248, 0.000], [0.250, 0.250, 0.502], [0.252, 0.748, 0.000], [0.625, 0.375, 0.351], [0.363, 0.613, 0.347], [0.125, 0.875, 0.351], [0.125, 0.875, 0.679], [0.125, 0.375, 0.834], [0.625, 0.375, 0.679], [0.625, 0.875, 0.818], [0.876, 0.624, 0.136], [0.887, 0.137, 0.347], [0.374, 0.126, 0.136], [0.625, 0.875, 0.155], [0.880, 0.130, 0.662], [0.125, 0.375, 0.161], [0.370, 0.620, 0.662], [0.875, 0.625, 0.837], [0.375, 0.125, 0.837]]
}

Record 10
{
  "formula": "Mg16Al13",
  "functional": "PBE",
  "state": "optimized geometry",
  "rho_g_cm3": 2.12,
  "magmom_total_mub_per_fu": 0.000,
  "e_tot_ev_per_atom": -2.5819,
  "relative_energy_mev_per_atom": 3,
  "lattice_angstrom": [[-2.495, -7.997, 3.522], [5.214, 4.428, 5.983], [-7.411, 4.950, -1.775]],
  "species": ["Al", "Al", "Al", "Al", "Al", "Al", "Al", "Al", "Al", "Al", "Al", "Al", "Al", "Mg", "Mg", "Mg", "Mg", "Mg", "Mg", "Mg", "Mg", "Mg", "Mg", "Mg", "Mg", "Mg", "Mg", "Mg", "Mg"],
  "fractional_positions": [[0.173, 0.360, 0.360], [0.186, 0.186, 0.812], [0.360, 0.173, 0.360], [0.186, 0.812, 0.186], [0.000, 0.633, 0.815], [0.815, 0.000, 0.633], [0.683, 0.683, 0.683], [0.633, 0.000, 0.815], [0.812, 0.186, 0.186], [0.815, 0.633, 0.000], [0.000, 0.815, 0.633], [0.360, 0.360, 0.173], [0.633, 0.815, 0.000], [0.598, 0.317, 0.998], [0.684, 0.286, 0.684], [0.286, 0.684, 0.684], [0.406, 0.406, 0.707], [0.345, 0.999, 0.999], [0.598, 0.998, 0.317], [0.998, 0.598, 0.317], [0.707, 0.406, 0.406], [0.999, 0.345, 0.999], [0.998, 0.317, 0.598], [0.999, 0.999, 0.345], [0.684, 0.684, 0.286], [0.406, 0.707, 0.406], [0.317, 0.998, 0.598], [0.002, 0.002, 0.002], [0.317, 0.598, 0.998]]
}

Record 11
{
  "formula": "Sc2Pt3",
  "functional": "PBE",
  "state": "optimized geometry",
  "rho_g_cm3": 11.26,
  "magmom_total_mub_per_fu": 0.000,
  "e_tot_ev_per_atom": -6.9187,
  "lattice_angstrom": [[-6.783, 3.424, -3.881], [-8.225, 0.402, -2.234], [-7.755, 3.547, -0.280]],
  "species": ["Pt", "Pt", "Pt", "Sc", "Sc"],
  "fractional_positions": [[0.000, 0.000, 0.000], [0.201, 0.201, 0.201], [0.799, 0.799, 0.799], [0.596, 0.596, 0.596], [0.404, 0.404, 0.404]]
}